An optimized crystal structure of LaZrAg2, computed with PBE.

Computed properties:
- Size of the total moment: 0.33 μB/atom
- Space group: Pmmm (47)
- Calculated formation energy: -1.45 kJ/mol of atoms

abc: 3.6014 5.1535 5.1638
angles: 90.00 90.00 90.00
With the nearest neighbours (Å) after each atom.
Fractional positions:
La 0.0000 0.0000 0.0000  8 Ag 3.14-3.15
Zr 0.0000 0.5000 0.5000  8 Ag 3.14-3.15
Ag 0.5000 0.0000 0.5000  4 Zr 3.14, 4 La 3.15
Ag 0.5000 0.5000 0.0000  4 La 3.14, 4 Zr 3.15

=====

An optimized crystal structure of LaZr2Ag, computed with PBE.

Computed properties:
- Size of the total moment: 0.00 μB/atom
- Space group: I4/mmm (139)
- Calculated formation energy: 16.68 kJ/mol of atoms

abc: 5.8476 5.8476 5.8476
angles: 135.25 135.25 65.14
With the nearest neighbours (Å) after each atom.
Fractional positions:
La 0.0000 0.0000 0.0000  4 Ag 3.15, 8 Zr 3.32
Zr 0.2500 0.7500 0.5000  4 Zr 3.15, 4 La 3.32, 4 Ag 3.32
Zr 0.7500 0.2500 0.5000  4 Zr 3.15, 4 La 3.32, 4 Ag 3.32
Ag 0.5000 0.5000 0.0000  4 La 3.15, 8 Zr 3.32

=====

An optimized crystal structure of LaZrAg, computed with PBE.

Computed properties:
- Size of the total moment: 0.00 μB/atom
- Space group: P-1 (2)
- Calculated formation energy: -3.07 kJ/mol of atoms

abc: 3.5474 5.9134 8.0954
angles: 81.91 77.39 72.91
With the nearest neighbours (Å) after each atom.
Fractional positions:
La 0.0630 0.1817 0.1874  5 Ag 3.11-3.37, 2 Zr 3.41
La 0.9370 0.8183 0.8126  5 Ag 3.11-3.37, 2 Zr 3.41
Zr 0.3421 0.2678 0.5460  2 Ag 3.00-3.01, 3 Zr 3.17-3.21
Zr 0.6579 0.7322 0.4540  2 Ag 3.00-3.01, 3 Zr 3.17-3.21
Ag 0.3539 0.6350 0.1611  2 Zr 3.00-3.01, 1 Ag 3.07, 3 La 3.11
Ag 0.6461 0.3650 0.8389  2 Zr 3.00-3.01, 1 Ag 3.07, 3 La 3.11

=====

An optimized crystal structure of La2ZrAg, computed with PBE.

Computed properties:
- Size of the total moment: 0.00 μB/atom
- Space group: I4/mmm (139)
- Calculated formation energy: 12.96 kJ/mol of atoms

abc: 5.7877 5.7877 5.7877
angles: 130.10 130.10 73.24
With the nearest neighbours (Å) after each atom.
Fractional positions:
La 0.2500 0.7500 0.5000  4 Zr 3.37, 4 Ag 3.37, 4 La 3.45
La 0.7500 0.2500 0.5000  4 Zr 3.37, 4 Ag 3.37, 4 La 3.45
Zr 0.0000 0.0000 0.0000  8 La 3.37, 4 Ag 3.45
Ag 0.5000 0.5000 0.0000  8 La 3.37, 4 Zr 3.45

=====

Repeat the second record exactly.
An optimized crystal structure of LaZr2Ag, computed with PBE.

Computed properties:
- Size of the total moment: 0.00 μB/atom
- Space group: I4/mmm (139)
- Calculated formation energy: 16.68 kJ/mol of atoms

abc: 5.8476 5.8476 5.8476
angles: 135.25 135.25 65.14
With the nearest neighbours (Å) after each atom.
Fractional positions:
La 0.0000 0.0000 0.0000  4 Ag 3.15, 8 Zr 3.32
Zr 0.2500 0.7500 0.5000  4 Zr 3.15, 4 La 3.32, 4 Ag 3.32
Zr 0.7500 0.2500 0.5000  4 Zr 3.15, 4 La 3.32, 4 Ag 3.32
Ag 0.5000 0.5000 0.0000  4 La 3.15, 8 Zr 3.32

=====

> Which of these has the lowest calculated formation energy?

LaZrAg

=====

Please write out number 1 again, unchanged.
An optimized crystal structure of LaZrAg2, computed with PBE.

Computed properties:
- Size of the total moment: 0.33 μB/atom
- Space group: Pmmm (47)
- Calculated formation energy: -1.45 kJ/mol of atoms

abc: 3.6014 5.1535 5.1638
angles: 90.00 90.00 90.00
With the nearest neighbours (Å) after each atom.
Fractional positions:
La 0.0000 0.0000 0.0000  8 Ag 3.14-3.15
Zr 0.0000 0.5000 0.5000  8 Ag 3.14-3.15
Ag 0.5000 0.0000 0.5000  4 Zr 3.14, 4 La 3.15
Ag 0.5000 0.5000 0.0000  4 La 3.14, 4 Zr 3.15